Entry 1:
Entry from Alexandria: a geometry-optimized DyTmIn structure (PBE-GGA).

Cell: 5.890 5.891 4.522 Å, 67.41 67.41 34.88°
Last column: magnetic moment on the atom in μB.
Fractional positions:
Tm: 0.539 0.129 0.261  0.08
Dy: 0.225 0.814 0.577  -0.03
In: 0.885 0.474 0.916  0.00

Energy above the lowest structure with this stoichiometry (meV per atom): 64


Entry 2:
Entry from Alexandria: a geometry-optimized Ac2HoRuO6 structure (PBE-GGA).

Cell: 5.783 6.123 8.372 Å, 90.00 90.00 90.00°
Last column: magnetic moment on the atom in μB.
Fractional positions:
O: 0.000 0.787 0.756  0.03
O: 0.755 0.452 0.500  0.03
O: 0.255 0.548 0.000  0.03
O: 0.251 0.990 0.500  0.03
O: 0.500 0.213 0.744  0.03
O: 0.000 0.787 0.244  0.03
O: 0.745 0.548 0.000  0.03
O: 0.749 0.990 0.500  0.03
O: 0.751 0.010 0.000  0.03
O: 0.245 0.452 0.500  0.03
O: 0.249 0.010 0.000  0.03
O: 0.500 0.213 0.256  0.03
Ru: 0.000 0.775 0.000  0.79
Ru: 0.500 0.225 0.500  0.79
Ac: 0.000 0.212 0.273  0.00
Ac: 0.500 0.788 0.227  0.00
Ac: 0.000 0.212 0.727  0.00
Ac: 0.500 0.788 0.773  0.00
Ho: 0.000 0.718 0.500  -0.02
Ho: 0.500 0.282 0.000  -0.02

ΔE_f (raw) (eV per atom): -2.649


Entry 3:
Entry from Alexandria: a geometry-optimized Tb2ScGa3Ir4 structure (PBE-GGA).

Cell: 4.157 4.157 10.973 Å, 90.00 90.00 90.00°
Fractional positions:
Ir: 0.500 0.500 0.000
Ir: 0.000 0.500 0.351
Ir: 0.000 0.000 0.000
Ir: 0.500 0.000 0.649
Tb: 0.500 0.000 0.227
Tb: 0.000 0.500 0.773
Ga: 0.000 0.500 0.125
Ga: 0.000 0.000 0.500
Ga: 0.500 0.000 0.875
Sc: 0.500 0.500 0.500


Calculated values (eV per formula unit) of DFT total energy for the records, taken in order: -12.558 -78.305 -67.715.
Calculated values (states/eV per cell) of DOS(E_F) for the records, taken in order: 3.64 9.27 5.85.